#i
CsNaH: relaxed, PBE.

Calculated values
- theoretical density (g/cm³) = 2.5
- space group = No. 129
- M_tot (μB/atom) = 0.000

a = 4.5397 Å, b = 4.5397 Å, c = 10.0172 Å
α = 90.00°, β = 90.00°, γ = 90.00°
Fractional coordinates of all 6 atoms:
Cs  0.2500  0.2500  0.1560
Cs  0.7500  0.7500  0.8440
Na  0.2500  0.2500  0.5975
Na  0.7500  0.7500  0.4025
H  0.2500  0.2500  0.8356
H  0.7500  0.7500  0.1644

***

#ii
CsNaH: relaxed, PBE.

Calculated values
- theoretical density (g/cm³) = 2.3
- space group = No. 11
- M_tot (μB/atom) = 0.000

a = 4.4198 Å, b = 6.9902 Å, c = 7.3173 Å
α = 90.00°, β = 90.41°, γ = 90.00°
Fractional coordinates of all 6 atoms:
Cs  0.0037  0.2500  0.2136
Cs  0.9963  0.7500  0.7864
Na  0.4980  0.2500  0.7876
Na  0.5020  0.7500  0.2124
H  0.5000  0.0000  0.0000
H  0.5000  0.5000  0.0000

***

Least stable = #ii

***

#i
Cs2RbNaH: relaxed, PBE.

Calculated values
- theoretical density (g/cm³) = 2.1
- space group = No. 123
- M_tot (μB/atom) = 0.104

a = 6.1975 Å, b = 6.1975 Å, c = 7.7036 Å
α = 90.00°, β = 90.00°, γ = 90.00°
Fractional coordinates of all 5 atoms:
Cs  0.0000  0.5000  0.0000
Cs  0.5000  0.0000  0.0000
Rb  0.0000  0.0000  0.5000
Na  0.5000  0.5000  0.5000
H  0.5000  0.5000  0.0000

***

#ii
Cs2RbNaH: relaxed, PBE.

Calculated values
- theoretical density (g/cm³) = 2.3
- space group = No. 123
- M_tot (μB/atom) = 0.000

a = 6.5668 Å, b = 6.5668 Å, c = 6.3770 Å
α = 90.00°, β = 90.00°, γ = 90.00°
Fractional coordinates of all 5 atoms:
Cs  0.0000  0.5000  0.0000
Cs  0.5000  0.0000  0.0000
Rb  0.0000  0.0000  0.5000
Na  0.5000  0.5000  0.5000
H  0.0000  0.0000  0.0000

***

Least stable = #i

***

#i
Cs2NaTlH: relaxed, PBE.

Calculated values
- theoretical density (g/cm³) = 4.1
- space group = No. 123
- M_tot (μB/atom) = 0.199

a = 6.5304 Å, b = 6.5304 Å, c = 4.7401 Å
α = 90.00°, β = 90.00°, γ = 90.00°
Fractional coordinates of all 5 atoms:
Cs  0.0000  0.5000  0.0000
Cs  0.5000  0.0000  0.0000
Na  0.0000  0.0000  0.5000
Tl  0.5000  0.5000  0.5000
H  0.0000  0.0000  0.0000

***

#ii
Cs2NaTlH: relaxed, PBE.

Calculated values
- theoretical density (g/cm³) = 3.9
- space group = No. 123
- M_tot (μB/atom) = 0.083

a = 6.1634 Å, b = 6.1634 Å, c = 5.5594 Å
α = 90.00°, β = 90.00°, γ = 90.00°
Fractional coordinates of all 5 atoms:
Cs  0.0000  0.5000  0.0000
Cs  0.5000  0.0000  0.0000
Na  0.0000  0.0000  0.5000
Tl  0.5000  0.5000  0.5000
H  0.5000  0.5000  0.0000

***

Least stable = #ii

***

#i
CsNb3H: relaxed, PBE.

Calculated values
- theoretical density (g/cm³) = 5.3
- space group = No. 221
- M_tot (μB/atom) = 0.000

a = 5.0662 Å, b = 5.0662 Å, c = 5.0662 Å
α = 90.00°, β = 90.00°, γ = 90.00°
Fractional coordinates of all 5 atoms:
Cs  0.0000  0.0000  0.0000
Nb  0.0000  0.0000  0.5000
Nb  0.0000  0.5000  0.0000
Nb  0.5000  0.0000  0.0000
H  0.5000  0.5000  0.5000

***

#ii
CsNb3H: relaxed, PBE.

Calculated values
- theoretical density (g/cm³) = 7.8
- space group = No. 221
- M_tot (μB/atom) = 0.000

a = 4.4524 Å, b = 4.4524 Å, c = 4.4524 Å
α = 90.00°, β = 90.00°, γ = 90.00°
Fractional coordinates of all 5 atoms:
Cs  0.0000  0.0000  0.0000
Nb  0.0000  0.5000  0.5000
Nb  0.5000  0.0000  0.5000
Nb  0.5000  0.5000  0.0000
H  0.5000  0.5000  0.5000

***

Least stable = #i

***

#i
CsNbH2SO: relaxed, PBE.

Calculated values
- theoretical density (g/cm³) = 3.1
- space group = No. 1
- M_tot (μB/atom) = 0.000

a = 4.4709 Å, b = 5.9478 Å, c = 6.0623 Å
α = 91.60°, β = 92.71°, γ = 110.99°
Fractional coordinates of all 6 atoms:
Cs  0.0000  0.0000  0.0000
Nb  0.2626  0.5698  0.4939
H  0.2129  0.2580  0.5357
H  0.4473  0.7830  0.2877
S  0.7428  0.4814  0.3540
O  0.3532  0.7259  0.7566

***

#ii
CsNbH2SO: relaxed, PBE.

Calculated values
- theoretical density (g/cm³) = 4.5
- space group = No. 8
- M_tot (μB/atom) = 0.000

a = 7.4495 Å, b = 7.4495 Å, c = 3.9983 Å
α = 90.07°, β = 90.07°, γ = 27.39°
Fractional coordinates of all 6 atoms:
Cs  0.0000  0.0000  0.0000
Nb  0.2795  0.2795  0.4681
H  0.4046  0.4046  0.5078
H  0.8402  0.8402  0.5036
S  0.6577  0.6577  0.5059
O  0.2978  0.2978  0.0079

***

#iii
CsNbH2SO: relaxed, PBE.

Calculated values
- theoretical density (g/cm³) = 4.1
- space group = No. 1
- M_tot (μB/atom) = 0.000

a = 3.9272 Å, b = 3.9992 Å, c = 7.4202 Å
α = 74.99°, β = 88.25°, γ = 85.30°
Fractional coordinates of all 6 atoms:
Cs  0.0000  0.0000  0.0000
Nb  0.5524  0.2290  0.4548
H  0.9022  0.9624  0.3974
H  0.9905  0.3402  0.4846
S  0.4856  0.6445  0.6543
O  0.4874  0.4103  0.2084

***

Least stable = #iii

***

#i
CsNbH2RhS: relaxed, PBE.

Calculated values
- theoretical density (g/cm³) = 5.5
- space group = No. 8
- M_tot (μB/atom) = 0.000

a = 7.5429 Å, b = 7.5429 Å, c = 4.1604 Å
α = 91.23°, β = 91.23°, γ = 27.64°
Fractional coordinates of all 6 atoms:
Cs  0.0000  0.0000  0.0000
Nb  0.2751  0.2751  0.4709
H  0.2905  0.2905  0.9636
H  0.4016  0.4016  0.5059
Rh  0.7481  0.7481  0.0247
S  0.6566  0.6566  0.5172

***

#ii
CsNbH2RhS: relaxed, PBE.

Calculated values
- theoretical density (g/cm³) = 5.7
- space group = No. 25
- M_tot (μB/atom) = 0.000

a = 3.2693 Å, b = 4.3956 Å, c = 7.3159 Å
α = 90.00°, β = 90.00°, γ = 90.00°
Fractional coordinates of all 6 atoms:
Cs  0.0000  0.0000  0.0000
Nb  0.0000  0.5000  0.4425
H  0.0000  0.0000  0.4407
H  0.5000  0.5000  0.2666
Rh  0.5000  0.0000  0.5422
S  0.5000  0.5000  0.6975

***

Least stable = #ii

***

#i
CsNbH2RhS: relaxed, PBE.

Calculated values
- theoretical density (g/cm³) = 5.5
- space group = No. 6
- M_tot (μB/atom) = 0.000

a = 4.4454 Å, b = 3.1555 Å, c = 8.0224 Å
α = 90.00°, β = 102.28°, γ = 90.00°
Fractional coordinates of all 6 atoms:
Cs  0.0000  0.0000  0.0000
Nb  0.3046  0.0000  0.5059
H  0.1176  0.5000  0.3418
H  0.5626  0.0000  0.3220
Rh  0.7536  0.5000  0.3953
S  0.4017  0.5000  0.7398

***

#ii
CsNbH2RhS: relaxed, PBE.

Calculated values
- theoretical density (g/cm³) = 5.4
- space group = No. 1
- M_tot (μB/atom) = 0.043

a = 3.6860 Å, b = 4.2219 Å, c = 7.1167 Å
α = 92.31°, β = 90.19°, γ = 90.03°
Fractional coordinates of all 6 atoms:
Cs  0.0000  0.0000  0.0000
Nb  0.9961  0.4829  0.4768
H  0.4958  0.6926  0.3257
H  0.9968  0.9886  0.4806
Rh  0.4971  0.9908  0.5035
S  0.4976  0.4784  0.7048

***

Least stable = #ii

***

#i
CsNbH2RhS: relaxed, PBE.

Calculated values
- theoretical density (g/cm³) = 5.3
- space group = No. 1
- M_tot (μB/atom) = 0.000

a = 3.3745 Å, b = 4.6717 Å, c = 7.3827 Å
α = 82.86°, β = 84.67°, γ = 81.29°
Fractional coordinates of all 6 atoms:
Cs  0.0000  0.0000  0.0000
Nb  0.8533  0.5321  0.5072
H  0.3384  0.3847  0.6619
H  0.6356  0.7950  0.7086
Rh  0.5219  0.0482  0.5266
S  0.4191  0.4367  0.2768

***

#ii
CsNbH2RhS: relaxed, PBE.

Calculated values
- theoretical density (g/cm³) = 5.7
- space group = No. 38
- M_tot (μB/atom) = 0.000

a = 4.1353 Å, b = 7.6715 Å, c = 7.6715 Å
α = 25.82°, β = 90.00°, γ = 90.00°
Fractional coordinates of all 6 atoms:
Cs  0.0000  0.0000  0.0000
Nb  0.5000  0.2842  0.2842
H  0.5000  0.4077  0.4077
H  0.5000  0.8440  0.8440
Rh  0.0000  0.7299  0.7299
S  0.5000  0.6575  0.6575

***

#iii
CsNbH2RhS: relaxed, PBE.

Calculated values
- theoretical density (g/cm³) = 5.6
- space group = No. 1
- M_tot (μB/atom) = 0.000

a = 3.5053 Å, b = 4.1172 Å, c = 7.6987 Å
α = 89.86°, β = 76.84°, γ = 90.00°
Fractional coordinates of all 6 atoms:
Cs  0.0000  0.0000  0.0000
Nb  0.2740  0.5261  0.4523
H  0.3986  0.5225  0.2035
H  0.8248  0.2768  0.3517
Rh  0.7412  0.9895  0.5219
S  0.6513  0.4992  0.6968

***

Least stable = #i